# 1
# BeSi3 (GGA-PBEsol, optimized geometry)
data_BeSi3
_symmetry_space_group_name_H-M 'R -3 m'
_symmetry_Int_Tables_number 166
_symmetry_space_group_name_Hall '-R 3 2"'
_cell_length_a 2.6833
_cell_length_b 2.6833
_cell_length_c 24.3616
_cell_angle_alpha 90.00
_cell_angle_beta 90.00
_cell_angle_gamma 120.00
loop_
_atom_site_label
_atom_site_type_symbol
_atom_site_fract_x
_atom_site_fract_y
_atom_site_fract_z
_atom_site_occupancy
Be1 Be 0.0000 0.0000 0.0000 1
Si1 Si 0.0000 0.0000 0.2574 1
Si2 Si 0.0000 0.0000 0.5000 1
# E_form (uncorrected) = 0.3754 eV per atom
# VASP energy = -59.22 eV/cell
# Energy above the lowest structure with this stoichiometry = 0.0223 eV/atom

# 2
# Mg2AlTl (GGA-PBEsol, optimized geometry)
data_Mg2AlTl
_symmetry_space_group_name_H-M 'C m m m'
_symmetry_Int_Tables_number 65
_symmetry_space_group_name_Hall '-C 2 2'
_cell_length_a 6.249
_cell_length_b 8.401
_cell_length_c 3.241
_cell_angle_alpha 90.00
_cell_angle_beta 90.00
_cell_angle_gamma 90.00
loop_
_atom_site_label
_atom_site_type_symbol
_atom_site_fract_x
_atom_site_fract_y
_atom_site_fract_z
_atom_site_occupancy
Mg1 Mg 0.250 0.250 0.000 1
Al1 Al 0.000 0.000 0.500 1
Tl1 Tl 0.000 0.500 0.500 1
# VASP energy = -20.25 eV/cell
# E_form = 8 meV per atom

# 3
# LiLa2Rh2 (GGA-PBEsol, optimized geometry)
data_LiLa2Rh2
_symmetry_space_group_name_H-M 'P 4/m b m'
_symmetry_Int_Tables_number 127
_symmetry_space_group_name_Hall '-P 4 2ab'
_cell_length_a 7.691
_cell_length_b 7.691
_cell_length_c 3.741
_cell_angle_alpha 90.00
_cell_angle_beta 90.00
_cell_angle_gamma 90.00
loop_
_atom_site_label
_atom_site_type_symbol
_atom_site_fract_x
_atom_site_fract_y
_atom_site_fract_z
_atom_site_occupancy
Li1 Li 0.000 0.000 0.000 1
La1 La 0.164 0.336 0.500 1
Rh1 Rh 0.137 0.637 0.000 1
# VASP energy = -62.52 eV/cell
# E_form = -464 meV per atom

# 4
# LiZnIr2 (GGA-PBEsol, optimized geometry)
data_LiZnIr2
_symmetry_space_group_name_H-M 'C m m 2'
_symmetry_Int_Tables_number 35
_cell_length_a 2.705
_cell_length_b 4.602
_cell_length_c 9.018
_cell_angle_alpha 90.00
_cell_angle_beta 90.00
_cell_angle_gamma 90.00
loop_
_symmetry_equiv_pos_as_xyz
'x,y,z'
'-x,-y,z'
'-x,y,z'
'x,-y,z'
'x+1/2,y+1/2,z'
'-x+1/2,-y+1/2,z'
'-x+1/2,y+1/2,z'
'x+1/2,-y+1/2,z'
loop_
_atom_site_label
_atom_site_type_symbol
_atom_site_fract_x
_atom_site_fract_y
_atom_site_fract_z
_atom_site_occupancy
Li1 Li 0.000 0.000 0.000 1
Zn1 Zn 0.000 0.500 0.258 1
Ir1 Ir 0.000 0.000 0.504 1
Ir2 Ir 0.000 0.500 0.761 1
# VASP energy = -45.76 eV/cell
# E_form = 78 meV per atom

# 5
# Tl3FeP (GGA-PBEsol, optimized geometry)
data_Tl3FeP
_symmetry_space_group_name_H-M 'P m -3 m'
_symmetry_Int_Tables_number 221
_symmetry_space_group_name_Hall '-P 4 2 3'
_cell_length_a 5.265
_cell_length_b 5.265
_cell_length_c 5.265
_cell_angle_alpha 90.00
_cell_angle_beta 90.00
_cell_angle_gamma 90.00
loop_
_atom_site_label
_atom_site_type_symbol
_atom_site_fract_x
_atom_site_fract_y
_atom_site_fract_z
_atom_site_occupancy
Tl1 Tl 0.000 0.000 0.500 1
Fe1 Fe 0.500 0.500 0.500 1
P1 P 0.000 0.000 0.000 1
# VASP energy = -17.27 eV/cell
# E_form = 1076 meV per atom

# 6
# TlNiP2 (GGA-PBEsol, optimized geometry)
data_TlNiP2
_symmetry_space_group_name_H-M 'P 1 2/m 1'
_symmetry_Int_Tables_number 10
_cell_length_a 4.095
_cell_length_b 3.632
_cell_length_c 5.035
_cell_angle_alpha 90.00
_cell_angle_beta 106.06
_cell_angle_gamma 90.00
loop_
_symmetry_equiv_pos_as_xyz
'x,y,z'
'-x,-y,-z'
'-x,y,-z'
'x,-y,z'
loop_
_atom_site_label
_atom_site_type_symbol
_atom_site_fract_x
_atom_site_fract_y
_atom_site_fract_z
_atom_site_occupancy
Tl1 Tl 0.000 0.000 0.000 1
Ni1 Ni 0.500 0.000 0.500 1
P1 P 0.269 0.500 0.625 1
# VASP energy = -20.92 eV/cell
# E_form = -136 meV per atom
# Energy above the lowest structure with this stoichiometry = 0.0000 eV/atom

# 7
# Ta2FeMo (GGA-PBEsol, optimized geometry)
data_Ta2FeMo
_symmetry_space_group_name_H-M 'P 4 m m'
_symmetry_Int_Tables_number 99
_cell_length_a 3.156
_cell_length_b 3.156
_cell_length_c 6.132
_cell_angle_alpha 90.00
_cell_angle_beta 90.00
_cell_angle_gamma 90.00
loop_
_symmetry_equiv_pos_as_xyz
'x,y,z'
'-y,x,z'
'-x,-y,z'
'y,-x,z'
'-x,y,z'
'y,x,z'
'x,-y,z'
'-y,-x,z'
loop_
_atom_site_label
_atom_site_type_symbol
_atom_site_fract_x
_atom_site_fract_y
_atom_site_fract_z
_atom_site_occupancy
Ta1 Ta 0.000 0.000 0.000 1
Ta2 Ta 0.500 0.500 0.278 1
Fe1 Fe 0.000 0.000 0.514 1
Mo1 Mo 0.500 0.500 0.748 1
# VASP energy = -45.80 eV/cell
# E_form = 8 meV per atom
# Energy above the lowest structure with this stoichiometry = 0.1849 eV/atom

# 8
# Ba3Hg (GGA-PBEsol, optimized geometry)
data_Ba3Hg
_symmetry_space_group_name_H-M 'P 4/m m m'
_symmetry_Int_Tables_number 123
_symmetry_space_group_name_Hall '-P 4 2'
_cell_length_a 4.174
_cell_length_b 4.174
_cell_length_c 10.674
_cell_angle_alpha 90.00
_cell_angle_beta 90.00
_cell_angle_gamma 90.00
loop_
_atom_site_label
_atom_site_type_symbol
_atom_site_fract_x
_atom_site_fract_y
_atom_site_fract_z
_atom_site_occupancy
Ba1 Ba 0.000 0.000 0.000 1
Ba2 Ba 0.500 0.500 0.321 1
Hg1 Hg 0.000 0.000 0.500 1
# VASP energy = -8.14 eV/cell
# E_form = -283 meV per atom
# Energy above the lowest structure with this stoichiometry = 0.0000 eV/atom